Entry 1:
KIrAu2 (PBE, relaxed); space-group type = I-4m2; energy of formation = 672 meV/atom; excess energy over the best structure of this formula in the dataset = 382 meV/atom; total magnetization = 0.00 μB/cell; crystal system = tetragonal; calculated total energy = -3.456 eV per atom; Fermi-level density of states = 4.6 states/eV/cell
1.0
-3.054 0.883 4.429
-3.744 -3.834 1.002
5.343 0.003 -1.081
Ir Au K
1 2 1
Direct
0.500 0.500 0.000
0.000 0.000 0.000
0.250 0.750 0.500
0.750 0.250 0.500

---

Entry 2:
BaGa3Pd5 (PBE, relaxed); space-group type = Cmcm; energy of formation = -649 meV/atom; total magnetization = 0.00 μB/cell; crystal system = orthorhombic; calculated total energy = -4.757 eV per atom; Fermi-level density of states = 8.2 states/eV/cell
1.0
-3.552 -2.001 0.383
4.614 -4.491 -2.562
3.261 -3.492 11.995
Pd Ga Ba
10 6 2
Direct
0.196 0.393 0.932
0.453 0.905 0.143
0.547 0.095 0.857
0.000 0.000 0.500
0.804 0.607 0.432
0.804 0.607 0.068
0.196 0.393 0.568
0.000 0.000 0.000
0.453 0.905 0.357
0.547 0.095 0.643
0.380 0.760 0.963
0.380 0.760 0.537
0.620 0.240 0.037
0.101 0.202 0.750
0.899 0.798 0.250
0.620 0.240 0.463
0.169 0.338 0.250
0.831 0.662 0.750

---

Entry 3:
K7Hg6 (PBE, relaxed); space-group type = R-3m; energy of formation = -36 meV/atom; total magnetization = 0.00 μB/cell; crystal system = trigonal; calculated total energy = -0.766 eV per atom; Fermi-level density of states = 3.5 states/eV/cell
1.0
13.406 0.055 0.033
11.202 7.366 0.034
11.202 3.378 6.545
K Hg
7 6
Direct
0.427 0.427 0.932
0.932 0.427 0.427
0.500 0.500 0.500
0.068 0.573 0.573
0.573 0.573 0.068
0.573 0.068 0.573
0.427 0.932 0.427
0.880 0.881 0.881
0.120 0.119 0.119
0.040 0.040 0.040
0.334 0.334 0.334
0.960 0.960 0.960
0.666 0.666 0.666

---

Entry 4:
Pm6Nd2Y3Sc (PBE, relaxed); space-group type = C2/m; energy of formation = 24 meV/atom; total magnetization = 0.00 μB/cell; crystal system = monoclinic; calculated total energy = -5.290 eV per atom; Fermi-level density of states = 16.0 states/eV/cell
1.0
6.250 -0.001 0.002
-3.124 5.413 0.002
-1.046 -1.811 11.721
Pm Sc Y Nd
6 1 3 2
Direct
0.412 0.083 0.250
0.247 0.247 0.750
0.588 0.917 0.750
0.753 0.753 0.250
0.083 0.412 0.250
0.917 0.588 0.750
0.000 0.000 0.000
0.166 0.834 0.500
0.834 0.166 0.500
0.500 0.500 0.500
0.333 0.667 0.000
0.667 0.333 0.000

---

Entry 5:
CaNd4Te5 (PBE, relaxed); space-group type = I4/mmm; excess energy over the best structure of this formula in the dataset = 0 meV/atom; total magnetization = 0.00 μB/cell; crystal system = tetragonal; calculated total energy = -5.143 eV per atom; Fermi-level density of states = 5.2 states/eV/cell
1.0
4.485 0.000 0.000
0.000 4.485 0.000
-2.243 -2.243 16.020
Te Nd Ca
5 4 1
Direct
0.500 0.500 0.000
0.097 0.097 0.195
0.297 0.297 0.594
0.903 0.903 0.805
0.703 0.703 0.406
0.396 0.396 0.792
0.196 0.196 0.393
0.604 0.604 0.208
0.804 0.804 0.607
0.000 0.000 0.000

---

Entry 6:
Ba2AgW (PBE, relaxed); space-group type = P4mm; energy of formation = 896 meV/atom; excess energy over the best structure of this formula in the dataset = 0 meV/atom; total magnetization = 1.49 μB/cell; crystal system = tetragonal; calculated total energy = -4.016 eV per atom; Fermi-level density of states = 6.2 states/eV/cell
1.0
-2.187 1.908 -2.333
-1.382 -3.197 -1.319
-6.858 0.232 6.620
Ba W Ag
2 1 1
Direct
0.000 0.000 0.915
0.500 0.500 0.330
0.000 0.000 0.576
0.500 0.500 0.679

---

Entry 7:
Ta2RuW2 (PBE, relaxed); space-group type = I4/mmm; energy of formation = -215 meV/atom; total magnetization = 0.00 μB/cell; crystal system = tetragonal; calculated total energy = -11.993 eV per atom; Fermi-level density of states = 3.3 states/eV/cell
1.0
-3.034 0.065 -1.042
0.180 -3.122 -0.718
-1.138 -0.310 8.235
Ru W Ta
1 2 2
Direct
0.000 0.000 0.000
0.798 0.798 0.596
0.202 0.202 0.404
0.599 0.599 0.197
0.401 0.401 0.803

---

Entry 8:
NdSmSn (PBE, relaxed); space-group type = Pnma; energy of formation = -598 meV/atom; excess energy over the best structure of this formula in the dataset = 0 meV/atom; total magnetization = 0.00 μB/cell; crystal system = orthorhombic; calculated total energy = -5.095 eV per atom; Fermi-level density of states = 8.4 states/eV/cell
1.0
-0.173 2.407 -4.388
-6.930 0.663 0.637
1.326 9.105 4.941
Sn Sm Nd
4 4 4
Direct
0.750 0.200 0.874
0.250 0.300 0.374
0.750 0.700 0.626
0.250 0.800 0.126
0.250 0.836 0.450
0.250 0.336 0.050
0.750 0.164 0.550
0.750 0.664 0.950
0.750 0.575 0.296
0.250 0.925 0.796
0.750 0.075 0.204
0.250 0.425 0.704

---

Entry 9:
Tl3ZnFe (PBE, relaxed); space-group type = Pm-3m; energy of formation = 412 meV/atom; excess energy over the best structure of this formula in the dataset = 0 meV/atom; total magnetization = 0.91 μB/cell; crystal system = cubic; calculated total energy = -2.955 eV per atom; Fermi-level density of states = 2.8 states/eV/cell
1.0
5.152 0.000 0.000
0.000 5.152 0.000
0.000 0.000 5.152
Zn Tl Fe
1 3 1
Direct
0.500 0.500 0.500
0.500 0.000 0.000
0.000 0.500 0.000
0.000 0.000 0.500
0.000 0.000 0.000

---

Entry 10:
Tm3MgGa7 (PBE, relaxed); space-group type = Cmcm; energy of formation = -407 meV/atom; total magnetization = 0.00 μB/cell; crystal system = orthorhombic; calculated total energy = -3.698 eV per atom; Fermi-level density of states = 10.3 states/eV/cell
1.0
4.060 0.000 0.000
-2.030 9.606 0.000
0.000 0.000 11.866
Tm Ga Mg
6 14 2
Direct
0.106 0.212 0.040
0.894 0.788 0.960
0.758 0.516 0.250
0.242 0.484 0.750
0.894 0.788 0.540
0.106 0.212 0.460
0.401 0.802 0.750
0.504 0.007 0.898
0.599 0.198 0.250
0.496 0.993 0.102
0.258 0.516 0.443
0.258 0.516 0.057
0.742 0.484 0.943
0.370 0.740 0.147
0.630 0.260 0.647
0.496 0.993 0.398
0.370 0.740 0.353
0.504 0.007 0.602
0.742 0.484 0.557
0.630 0.260 0.853
0.043 0.086 0.750
0.957 0.914 0.250

---

Entry 11:
Sr2NpTiO6 (PBE, relaxed); space-group type = P4/mmm; total magnetization = 2.94 μB/cell; crystal system = tetragonal; calculated total energy = -8.368 eV per atom; Fermi-level density of states = 6.6 states/eV/cell
1.0
4.175 0.000 0.000
0.000 4.175 0.000
0.000 0.000 8.356
O Ti Np Sr
6 1 1 2
Direct
0.000 0.500 0.000
0.000 0.500 0.500
0.500 0.000 0.500
0.500 0.500 0.734
0.500 0.000 0.000
0.500 0.500 0.266
0.500 0.500 0.500
0.500 0.500 0.000
0.000 0.000 0.289
0.000 0.000 0.711

---

Entry 12:
CePuBiBr (PBE, relaxed); space-group type = F-43m; total magnetization = 7.96 μB/cell; crystal system = cubic; calculated total energy = -7.218 eV per atom; Fermi-level density of states = 12.9 states/eV/cell
1.0
-2.643 4.483 1.585
-3.069 -0.096 4.491
1.612 2.677 4.454
Bi Pu Br Ce
1 1 1 1
Direct
0.250 0.250 0.250
0.500 0.500 0.500
0.750 0.750 0.750
0.000 0.000 0.000

---

Repeat the sixth record exactly.
Ba2AgW (PBE, relaxed); space-group type = P4mm; energy of formation = 896 meV/atom; excess energy over the best structure of this formula in the dataset = 0 meV/atom; total magnetization = 1.49 μB/cell; crystal system = tetragonal; calculated total energy = -4.016 eV per atom; Fermi-level density of states = 6.2 states/eV/cell
1.0
-2.187 1.908 -2.333
-1.382 -3.197 -1.319
-6.858 0.232 6.620
Ba W Ag
2 1 1
Direct
0.000 0.000 0.915
0.500 0.500 0.330
0.000 0.000 0.576
0.500 0.500 0.679

---

Among the records above, which one has the highest Fermi-level density of states? Pm6Nd2Y3Sc